KRu2Pt: relaxed, PBE-GGA.

M_tot (μB per cell): 1.092
Density of states at the Fermi level (states/eV/atom): 1.021
Crystal system: tetragonal
Excess energy over the best structure of this formula in the dataset (eV/atom): 0.423
DFT total energy (eV/atom): -5.563
Mass density (g cm⁻³): 8.9
Energy relative to the elements (eV/atom): 0.86

Lattice parameters (Å, degrees): 3.1631 3.1631 8.1172 90.00 90.00 90.00
With the nearest neighbours (Å) after each atom.
Space group P4/mmm (No. 123)
Unique sites:
K: 0.0000 0.0000 0.0000 x1  4 K 3.16, 8 Ru 3.49
Ru: 0.5000 0.5000 0.3306 x2  4 Pt 2.63, 1 Ru 2.75
Pt: 0.0000 0.0000 0.5000 x1  8 Ru 2.63



V3Ni2Pt: relaxed, PBE-GGA.

M_tot (μB per cell): 2.173
Density of states at the Fermi level (states/eV/atom): 1.317
Crystal system: orthorhombic
DFT total energy (eV/atom): -7.669
Mass density (g cm⁻³): 9.8
Energy relative to the elements (eV/atom): -0.18

Lattice parameters (Å, degrees): 8.2630 8.2253 4.6460 90.00 90.00 90.00
With the nearest neighbours (Å) after each atom.
Space group Cmcm (No. 63)
Unique sites:
V: 0.0000 0.0786 0.2500 x4  1 Pt 2.46, 4 Ni 2.46, 2 V 2.66
V: 0.1522 0.2484 0.7500 x8  4 Ni 2.49-2.51, 1 V 2.52
Ni: 0.2501 0.0000 0.0000 x8  2 Ni 2.32, 6 V 2.46-2.51, 2 Pt 2.58
Pt: 0.0000 0.3771 0.2500 x4  1 V 2.46, 4 Ni 2.58



HgSb2W: relaxed, PBE-GGA.

ΔE_f (raw) (eV/atom): 0.830
M_tot (μB per cell): 0.001
Density of states at the Fermi level (states/eV/atom): 0.799
Crystal system: tetragonal
DFT total energy (eV/atom): -4.545
Mass density (g cm⁻³): 12.1

Lattice parameters (Å, degrees): 4.9274 4.9274 3.5512 90.00 90.00 90.00
With the nearest neighbours (Å) after each atom.
Space group P4/mmm (No. 123)
Unique sites:
Hg: 0.0000 0.0000 0.0000 x1  8 Sb 3.04
Sb: 0.0000 0.5000 0.5000 x2  4 Hg 3.04, 4 W 3.04
W: 0.5000 0.5000 0.0000 x1  8 Sb 3.04



LaSiGe2Ru2: relaxed, PBE-GGA.

ΔE_f (raw) (eV/atom): -0.330
M_tot (μB per cell): 0.008
Density of states at the Fermi level (states/eV/atom): 1.095
Crystal system: tetragonal
DFT total energy (eV/atom): -6.687
Mass density (g cm⁻³): 7.5

Lattice parameters (Å, degrees): 4.4729 4.4729 5.7224 90.00 90.00 90.00
With the nearest neighbours (Å) after each atom.
Space group P4/mmm (No. 123)
Unique sites:
La: 0.0000 0.0000 0.0000 x1  2 Si 2.86
Si: 0.0000 0.0000 0.5000 x1  4 Ru 2.24
Ge: 0.5000 0.5000 0.2290 x2  1 Ge 2.62, 4 Ru 2.72
Ru: 0.0000 0.5000 0.5000 x2  2 Si 2.24



ZrHg2Rh: relaxed, PBE-GGA.

M_tot (μB per cell): 0.000
Density of states at the Fermi level (states/eV/atom): 0.658
Crystal system: monoclinic
Excess energy over the best structure of this formula in the dataset (eV/atom): 0.109
DFT total energy (eV/atom): -4.278
Mass density (g cm⁻³): 12.5
Energy relative to the elements (eV/atom): -0.15

Lattice parameters (Å, degrees): 9.4570 3.8347 4.8111 90.00 114.70 90.00
With the nearest neighbours (Å) after each atom.
Space group Cm (No. 8)
Unique sites:
Zr: 0.0000 0.0000 0.0000 x2  2 Rh 2.66
Hg: 0.2321 0.0000 0.7126 x2  3 Hg 2.95-2.97, 4 Zr 3.01-3.21, 4 Rh 3.02-3.14
Hg: 0.4720 0.0000 0.4659 x2  4 Rh 2.95-3.24, 3 Hg 2.95-2.97, 4 Zr 3.04-3.13
Rh: 0.2149 0.5000 0.1817 x2  2 Zr 2.66, 2 Hg 2.95



AgAs2Au2: relaxed, PBE-GGA.

M_tot (μB per cell): 0.000
Density of states at the Fermi level (states/eV/atom): 0.346
Crystal system: tetragonal
Excess energy over the best structure of this formula in the dataset (eV/atom): 0.000
DFT total energy (eV/atom): -3.527
Mass density (g cm⁻³): 10.9
Energy relative to the elements (eV/atom): 0.21

Lattice parameters (Å, degrees): 7.3102 7.3102 3.7180 90.00 90.00 90.00
With the nearest neighbours (Å) after each atom.
Space group P4/mbm (No. 127)
Unique sites:
Ag: 0.0000 0.0000 0.0000 x2  4 As 2.70
As: 0.1732 0.3268 0.0000 x4  6 Au 2.68-2.96, 2 Ag 2.70
Au: 0.1403 0.6403 0.5000 x4  6 As 2.68-2.96, 1 Au 2.90